Entry 1:
# Tm2ScRu, relaxed, DFT PBE
data_Tm2ScRu
_symmetry_space_group_name_H-M 'P n m a'
_symmetry_Int_Tables_number 62
_symmetry_space_group_name_Hall '-P 2ac 2n'
_cell_length_a 7.056
_cell_length_b 8.861
_cell_length_c 6.146
_cell_angle_alpha 90.00
_cell_angle_beta 90.00
_cell_angle_gamma 90.00
loop_
_atom_site_label
_atom_site_fract_x
_atom_site_fract_y
_atom_site_fract_z
Tm1 0.179 0.061 0.172
Sc1 0.042 0.250 0.628
Ru1 0.117 0.750 0.981
# E_form in eV/atom: -0.38
# ΔE to the lowest computed polymorph in meV/atom: 0
# Calculated density in Mg/m³: 8.36
# Volume in Å³/cell: 384.30
# Total magnetization in μB per cell: 0.000


Entry 2:
# Tm5ScRu6, relaxed, DFT PBE
data_Tm5ScRu6
_symmetry_space_group_name_H-M 'C 1 2/m 1'
_symmetry_Int_Tables_number 12
_symmetry_space_group_name_Hall '-C 2y'
_cell_length_a 8.149
_cell_length_b 14.100
_cell_length_c 4.729
_cell_angle_alpha 90.00
_cell_angle_beta 125.30
_cell_angle_gamma 90.00
loop_
_atom_site_label
_atom_site_fract_x
_atom_site_fract_y
_atom_site_fract_z
Tm1 0.000 0.000 0.000
Tm2 0.000 0.167 0.500
Tm3 0.000 0.335 0.000
Sc1 0.000 0.500 0.500
Ru1 0.245 0.500 0.245
Ru2 0.248 0.335 0.748
# E_form in eV/atom: -0.43
# Calculated density in Mg/m³: 11.20
# Volume in Å³/cell: 443.45
# Total magnetization in μB per cell: 0.000


Entry 3:
# TmSc3Ru3, relaxed, DFT PBE
data_TmSc3Ru3
_symmetry_space_group_name_H-M 'R 3 m'
_symmetry_Int_Tables_number 160
_symmetry_space_group_name_Hall 'R 3 -2"'
_cell_length_a 9.1652
_cell_length_b 9.1652
_cell_length_c 5.4707
_cell_angle_alpha 90.00
_cell_angle_beta 90.00
_cell_angle_gamma 120.00
loop_
_atom_site_label
_atom_site_fract_x
_atom_site_fract_y
_atom_site_fract_z
Tm1 0.0000 0.0000 0.0000
Sc1 0.0565 0.5282 0.1171
Ru1 0.1686 0.3372 0.9246
# E_form in eV/atom: -0.48
# Calculated density in Mg/m³: 7.60
# Volume in Å³/cell: 397.98
# Total magnetization in μB per cell: 0.000


Entry 4:
# Tm2Sc3Ru2, relaxed, DFT PBE
data_Tm2Sc3Ru2
_symmetry_space_group_name_H-M 'C 1 2/m 1'
_symmetry_Int_Tables_number 12
_symmetry_space_group_name_Hall '-C 2y'
_cell_length_a 11.036
_cell_length_b 3.841
_cell_length_c 7.987
_cell_angle_alpha 90.00
_cell_angle_beta 113.78
_cell_angle_gamma 90.00
loop_
_atom_site_label
_atom_site_fract_x
_atom_site_fract_y
_atom_site_fract_z
Tm1 0.156 0.000 0.302
Sc1 0.000 0.500 0.500
Sc2 0.125 0.500 0.929
Ru1 0.165 0.000 0.718
# E_form in eV/atom: -0.40
# Calculated density in Mg/m³: 7.23
# Volume in Å³/cell: 309.80
# Total magnetization in μB per cell: 0.000


Entry 5:
# TmSc2Ru, relaxed, DFT PBE
data_TmSc2Ru
_symmetry_space_group_name_H-M 'R -3 m'
_symmetry_Int_Tables_number 166
_symmetry_space_group_name_Hall '-R 3 2"'
_cell_length_a 3.2394
_cell_length_b 3.2394
_cell_length_c 30.7175
_cell_angle_alpha 90.00
_cell_angle_beta 90.00
_cell_angle_gamma 120.00
loop_
_atom_site_label
_atom_site_fract_x
_atom_site_fract_y
_atom_site_fract_z
Tm1 0.0000 0.0000 0.0000
Sc1 0.0000 0.0000 0.1051
Ru1 0.0000 0.0000 0.5000
# E_form in eV/atom: 0.03
# ΔE to the lowest computed polymorph in meV/atom: 391
# Calculated density in Mg/m³: 6.42
# Volume in Å³/cell: 279.16
# Total magnetization in μB per cell: 0.590


Entry 6:
# Tm3ScRu, relaxed, DFT PBE
data_Tm3ScRu
_symmetry_space_group_name_H-M 'C 1 2/m 1'
_symmetry_Int_Tables_number 12
_symmetry_space_group_name_Hall '-C 2y'
_cell_length_a 11.252
_cell_length_b 8.465
_cell_length_c 7.721
_cell_angle_alpha 90.00
_cell_angle_beta 133.15
_cell_angle_gamma 90.00
loop_
_atom_site_label
_atom_site_fract_x
_atom_site_fract_y
_atom_site_fract_z
Tm1 0.055 0.000 0.265
Tm2 0.243 0.304 0.202
Sc1 0.054 0.500 0.359
Ru1 0.245 0.500 0.870
# E_form in eV/atom: -0.22
# Calculated density in Mg/m³: 8.08
# Volume in Å³/cell: 536.52
# Total magnetization in μB per cell: 1.633


Entry 7:
# TmSc2Ru3, relaxed, DFT PBE
data_TmSc2Ru3
_symmetry_space_group_name_H-M 'P 4/m m m'
_symmetry_Int_Tables_number 123
_symmetry_space_group_name_Hall '-P 4 2'
_cell_length_a 3.268
_cell_length_b 3.268
_cell_length_c 9.721
_cell_angle_alpha 90.00
_cell_angle_beta 90.00
_cell_angle_gamma 90.00
loop_
_atom_site_label
_atom_site_fract_x
_atom_site_fract_y
_atom_site_fract_z
Tm1 0.000 0.000 0.000
Sc1 0.000 0.000 0.338
Ru1 0.500 0.500 0.176
Ru2 0.500 0.500 0.500
# E_form in eV/atom: -0.49
# ΔE to the lowest computed polymorph in meV/atom: 0
# Calculated density in Mg/m³: 8.99
# Volume in Å³/cell: 103.81
# Total magnetization in μB per cell: 0.000


Entry 8:
# TmSc2Ru, relaxed, DFT PBE
data_TmSc2Ru
_symmetry_space_group_name_H-M 'P n m a'
_symmetry_Int_Tables_number 62
_symmetry_space_group_name_Hall '-P 2ac 2n'
_cell_length_a 7.134
_cell_length_b 8.532
_cell_length_c 5.930
_cell_angle_alpha 90.00
_cell_angle_beta 90.00
_cell_angle_gamma 90.00
loop_
_atom_site_label
_atom_site_fract_x
_atom_site_fract_y
_atom_site_fract_z
Tm1 0.036 0.250 0.122
Sc1 0.175 0.063 0.658
Ru1 0.116 0.750 0.442
# E_form in eV/atom: -0.36
# ΔE to the lowest computed polymorph in meV/atom: 0
# Calculated density in Mg/m³: 6.62
# Volume in Å³/cell: 360.91
# Total magnetization in μB per cell: 0.000